## NaY2SiO (PBE)

Data for NaY2SiO after structural relaxation.

a = 5.3917 Å, b = 5.3917 Å, c = 4.4327 Å
α = 90.00°, β = 90.00°, γ = 90.00°
Closest atoms and distances in Å follow each position.
Element x y z (fractional)
Na 0.0000 0.0000 0.0000  2 Si 2.22
Y 0.0000 0.5000 0.0000  2 Na 2.70
Y 0.5000 0.0000 0.0000  2 Na 2.70
Si 0.0000 0.0000 0.5000  2 Na 2.22
O 0.5000 0.5000 0.5000  8 Y 3.49, 4 Si 3.81

## Properties
- Energy relative to the elements, uncorrected: 440 kJ/mol of formula units
- Calculated density: 3.16 g/cm³

## AgSnMo3 (PBE)

Data for AgSnMo3 after structural relaxation.

a = 4.8134 Å, b = 4.8134 Å, c = 4.8134 Å
α = 90.00°, β = 90.00°, γ = 90.00°
Closest atoms and distances in Å follow each position.
Element x y z (fractional)
Ag 0.0000 0.0000 0.0000  6 Mo 2.41
Sn 0.5000 0.5000 0.5000  12 Mo 3.40
Mo 0.0000 0.0000 0.5000  2 Ag 2.41
Mo 0.0000 0.5000 0.0000  2 Ag 2.41
Mo 0.5000 0.0000 0.0000  2 Ag 2.41

## Properties
- E above lowest polymorph: 0.000 eV per atom
- Calculated density: 7.66 g/cm³

## LaFeOs2 (PBE)

Data for LaFeOs2 after structural relaxation.

a = 5.5627 Å, b = 9.4975 Å, c = 2.8784 Å
α = 90.00°, β = 115.89°, γ = 90.00°
Closest atoms and distances in Å follow each position.
Element x y z (fractional)
La 0.0000 0.0000 0.0000  4 Fe 2.78-3.01, 4 Os 2.81, 2 La 2.88
La 0.5000 0.5000 0.0000  4 Fe 2.78-3.01, 4 Os 2.81, 2 La 2.88
Fe 0.0000 0.5000 0.0000  4 La 2.78-3.01, 4 Os 2.81, 2 Fe 2.88
Fe 0.5000 0.0000 0.0000  4 La 2.78-3.01, 4 Os 2.81, 2 Fe 2.88
Os 0.2500 0.2500 0.5000  6 Os 2.78-3.01, 2 La 2.81, 2 Fe 2.81
Os 0.2500 0.7500 0.5000  6 Os 2.78-3.01, 2 La 2.81, 2 Fe 2.81
Os 0.7500 0.2500 0.5000  6 Os 2.78-3.01, 2 La 2.81, 2 Fe 2.81
Os 0.7500 0.7500 0.5000  6 Os 2.78-3.01, 2 La 2.81, 2 Fe 2.81

## Properties
- E above lowest polymorph: 0.549 eV per atom
- Calculated density: 13.96 g/cm³

## Ho3Tm7Th (PBE)

Data for Ho3Tm7Th after structural relaxation.

a = 9.8234 Å, b = 9.8234 Å, c = 8.1420 Å
α = 90.00°, β = 90.00°, γ = 64.53°
Closest atoms and distances in Å follow each position.
Element x y z (fractional)
Ho 0.0000 0.0000 0.0000  10 Tm 3.31-3.62
Ho 0.0000 0.0000 0.5000  10 Tm 3.31-3.62
Ho 0.2802 0.3888 0.7500  3 Tm 3.05-3.26
Ho 0.3888 0.2802 0.2500  3 Tm 3.05-3.26
Ho 0.6112 0.7198 0.7500  3 Tm 3.05-3.26
Ho 0.7198 0.6112 0.2500  3 Tm 3.05-3.26
Tm 0.1038 0.6026 0.0598  2 Tm 3.10-3.31, 1 Ho 3.26
Tm 0.1038 0.6026 0.4402  2 Tm 3.10-3.31, 1 Ho 3.26
Tm 0.1145 0.2106 0.2500  1 Ho 3.05, 2 Tm 3.31
Tm 0.2106 0.1145 0.7500  1 Ho 3.05, 2 Tm 3.31
Tm 0.2487 0.7513 0.7500  4 Ho 3.31-3.44, 2 Th 3.33, 6 Tm 3.42-3.51
Tm 0.3974 0.8962 0.0598  2 Tm 3.10-3.31, 1 Ho 3.26
Tm 0.3974 0.8962 0.4402  2 Tm 3.10-3.31, 1 Ho 3.26
Tm 0.6026 0.1038 0.5598  2 Tm 3.10-3.31, 1 Ho 3.26
Tm 0.6026 0.1038 0.9402  2 Tm 3.10-3.31, 1 Ho 3.26
Tm 0.7513 0.2487 0.2500  4 Ho 3.31-3.44, 2 Th 3.33, 6 Tm 3.42-3.51
Tm 0.7894 0.8855 0.2500  1 Ho 3.05, 2 Tm 3.31
Tm 0.8855 0.7894 0.7500  1 Ho 3.05, 2 Tm 3.31
Tm 0.8962 0.3974 0.5598  2 Tm 3.10-3.31, 1 Ho 3.26
Tm 0.8962 0.3974 0.9402  2 Tm 3.10-3.31, 1 Ho 3.26
Th 0.5000 0.5000 0.0000  6 Tm 3.33-3.61, 4 Ho 3.47
Th 0.5000 0.5000 0.5000  6 Tm 3.33-3.61, 4 Ho 3.47

## Properties
- E above lowest polymorph: 0.116 eV per atom
- Calculated density: 8.94 g/cm³

no.,M_tot (Bohr magnetons per cell)
1,0.0
2,0.0
3,5.8
4,0.0